[1]
DFT (PBE) results for a relaxed structure of Sc3HgRu.

Cell lengths 5.143, 5.143, 5.143 Å; angles 90.00, 90.00, 90.00 degrees
Sites, in units of the cell vectors:
Sc 0.000 0.000 0.500
Sc 0.000 0.500 0.000
Sc 0.500 0.000 0.000
Hg 0.000 0.000 0.000
Ru 0.500 0.500 0.500

**Calculated total energy**: -24.02 eV for the cell shown
**Energy relative to the lowest polymorph listed for this composition**: 5.263 eV per formula unit
**Spin magnetization**: 0.43 μB per formula unit

[2]
DFT (PBE) results for a relaxed structure of Sc6Hg5Ru.

Cell lengths 4.886, 7.038, 7.688 Å; angles 90.00, 108.43, 90.00 degrees
Sites, in units of the cell vectors:
Sc 0.000 0.231 0.000
Sc 0.000 0.769 0.000
Sc 0.343 0.239 0.686
Sc 0.343 0.761 0.686
Sc 0.657 0.239 0.314
Sc 0.657 0.761 0.314
Hg 0.170 0.500 0.341
Hg 0.171 0.000 0.342
Hg 0.500 0.500 0.000
Hg 0.829 0.000 0.658
Hg 0.830 0.500 0.659
Ru 0.500 0.000 0.000

**Calculated total energy**: -54.22 eV for the cell shown
**Spin magnetization**: 0.00 μB per formula unit

[3]
DFT (PBE) results for a relaxed structure of ScHgRu2.

Cell lengths 2.924, 2.924, 8.077 Å; angles 90.00, 90.00, 90.00 degrees
Sites, in units of the cell vectors:
Sc 0.000 0.000 0.000
Hg 0.500 0.500 0.291
Ru 0.000 0.000 0.560
Ru 0.500 0.500 0.757

**Calculated total energy**: -25.34 eV for the cell shown
**Spin magnetization**: 0.00 μB per formula unit

[4]
DFT (PBE) results for a relaxed structure of Sc2HgRu.

Cell lengths 3.342, 4.086, 5.897 Å; angles 90.00, 90.00, 90.00 degrees
Sites, in units of the cell vectors:
Sc 0.000 0.000 0.000
Sc 0.500 0.500 0.313
Hg 0.000 0.000 0.531
Ru 0.500 0.500 0.874

**Calculated total energy**: -23.15 eV for the cell shown
**Spin magnetization**: 0.00 μB per formula unit

[5]
DFT (PBE) results for a relaxed structure of Sc3HgRu.

Cell lengths 4.986, 4.986, 4.986 Å; angles 90.00, 90.00, 90.00 degrees
Sites, in units of the cell vectors:
Sc 0.000 0.000 0.500
Sc 0.000 0.500 0.000
Sc 0.500 0.000 0.000
Hg 0.500 0.500 0.500
Ru 0.000 0.000 0.000

**Calculated total energy**: -29.28 eV for the cell shown
**Energy relative to the lowest polymorph listed for this composition**: 0.000 eV per formula unit
**Spin magnetization**: 0.00 μB per formula unit

[6]
DFT (PBE) results for a relaxed structure of Sc2HgRu2.

Cell lengths 7.341, 7.341, 3.373 Å; angles 90.00, 90.00, 90.00 degrees
Sites, in units of the cell vectors:
Sc 0.158 0.342 0.000
Sc 0.342 0.842 0.000
Sc 0.658 0.158 0.000
Sc 0.842 0.658 0.000
Hg 0.000 0.000 0.500
Hg 0.500 0.500 0.500
Ru 0.140 0.640 0.500
Ru 0.360 0.140 0.500
Ru 0.640 0.860 0.500
Ru 0.860 0.360 0.500

**Calculated total energy**: -66.13 eV for the cell shown
**Spin magnetization**: 0.00 μB per formula unit

[7]
DFT (PBE) results for a relaxed structure of ScHgRu2.

Cell lengths 9.284, 9.284, 9.284 Å; angles 18.45, 18.45, 18.45 degrees
Sites, in units of the cell vectors:
Sc 0.000 0.000 0.000
Hg 0.761 0.761 0.761
Ru 0.255 0.255 0.255
Ru 0.516 0.516 0.516

**Calculated total energy**: -24.29 eV for the cell shown
**Spin magnetization**: 0.00 μB per formula unit

[8]
DFT (PBE) results for a relaxed structure of ScHgRu2.

Cell lengths 4.997, 4.997, 4.997 Å; angles 131.62, 131.62, 70.83 degrees
Sites, in units of the cell vectors:
Sc 0.000 0.000 0.000
Hg 0.500 0.500 0.000
Ru 0.250 0.750 0.500
Ru 0.750 0.250 0.500

**Calculated total energy**: -24.73 eV for the cell shown
**Spin magnetization**: 1.71 μB per formula unit

calculated total energy of number 8 (ScHgRu2)?
-24.73 eV for the cell shown